# MnCrSbO6

A relaxed structure of MnCrSbO6 (PBE+U, Alexandria).

```
data_MnCrSbO6
_chemical_formula_sum 'Mn2 Cr2 Sb2 O12'
_space_group_name_H-M_alt 'P 1'
_space_group_IT_number 1
_cell_length_a 5.1050
_cell_length_b 5.1050
_cell_length_c 8.7439
_cell_angle_alpha 90.00
_cell_angle_beta 90.00
_cell_angle_gamma 120.00
loop_
_space_group_symop_operation_xyz
'x,y,z'
loop_
_atom_site_label
_atom_site_type_symbol
_atom_site_fract_x
_atom_site_fract_y
_atom_site_fract_z
_atom_site_occupancy
Mn1 Mn 0.0000 0.0000 0.0000 1
Mn2 Mn 0.0000 0.0000 0.5000 1
Cr1 Cr 0.3333 0.6667 0.2500 1
Cr2 Cr 0.6667 0.3333 0.7500 1
Sb1 Sb 0.3333 0.6667 0.7500 1
Sb2 Sb 0.6667 0.3333 0.2500 1
O1 O 0.0048 0.3444 0.1275 1
O2 O 0.0048 0.6604 0.3725 1
O3 O 0.3396 0.3444 0.3725 1
O4 O 0.3396 0.9952 0.1275 1
O5 O 0.3444 0.0048 0.6275 1
O6 O 0.3444 0.3396 0.8725 1
O7 O 0.6556 0.6604 0.1275 1
O8 O 0.6556 0.9952 0.3725 1
O9 O 0.6604 0.0048 0.8725 1
O10 O 0.6604 0.6556 0.6275 1
O11 O 0.9952 0.3396 0.6275 1
O12 O 0.9952 0.6556 0.8725 1
```

Properties
DOS at the Fermi energy = 0.44 states/eV per atom
Final energy = -6.839 eV/atom